No. 1
KNbI2 PBE optimized geometry; crystal system = cubic; energy relative to the lowest polymorph listed for this composition = 246 meV per atom; symmetry = Fm-3m, No. 225
1.0
2.094 1.627 4.615
-2.052 -1.711 4.603
2.739 -3.412 3.029
K I Nb
1 2 1
direct
0.000 0.000 0.000
0.250 0.250 0.250
0.750 0.750 0.750
0.500 0.500 0.500

No. 2
Na3UCo2Se6 PBE optimized geometry; crystal system = monoclinic; symmetry = C2/m, No. 12
1.0
-2.002 6.113 -0.159
-2.834 -4.405 -3.737
-3.041 -1.971 6.499
Se Co U Na
6 2 1 3
direct
0.932 0.564 0.796
0.564 0.932 0.796
0.068 0.436 0.204
0.701 0.701 0.203
0.299 0.299 0.797
0.436 0.068 0.204
0.667 0.333 0.000
0.333 0.667 0.000
0.000 0.000 0.000
0.500 0.500 0.500
0.842 0.158 0.500
0.158 0.842 0.500

Number 1: ρ 6.01 Mg/m³, ΔE_f (raw) 0.23 eV/atom. Number 2: ρ 5.84 Mg/m³, ΔE_f (raw) -0.77 eV/atom.